Entry 1:
The following is a DFT calculation (PBE-GGA) of a relaxed SrCdSb2 crystal.

**Density of states at the Fermi level**: 3.58 states/eV per cell
**Total DFT energy (no corrections)**: -11.30 eV per cell
**SG**: R3m, No. 160
**Theoretical density**: 5.4 g cm⁻³

a = 8.9948 Å, b = 8.9948 Å, c = 8.9948 Å
α = 27.33°, β = 27.33°, γ = 27.33°
Fractional coordinates of all 4 atoms:
Sr: 0.0000 0.0000 0.0000
Cd: 0.7613 0.7613 0.7613
Sb: 0.2400 0.2400 0.2400
Sb: 0.5053 0.5053 0.5053


Entry 2:
The following is a DFT calculation (PBE-GGA) of a relaxed SrCdSb crystal.

**Offset from the most stable computed form**: 0 meV per atom
**Density of states at the Fermi level**: 0.02 states/eV per cell
**Total DFT energy (no corrections)**: -17.49 eV per cell
**SG**: P-1, No. 2
**Theoretical density**: 5.4 g cm⁻³

a = 4.8609 Å, b = 6.2006 Å, c = 7.3110 Å
α = 80.63°, β = 89.95°, γ = 66.93°
Fractional coordinates of all 6 atoms:
Sr: 0.1206 0.2580 0.2739
Sr: 0.8794 0.7420 0.7261
Cd: 0.3901 0.7195 0.0695
Cd: 0.6099 0.2805 0.9305
Sb: 0.1745 0.1518 0.7400
Sb: 0.8255 0.8482 0.2600


Entry 3:
The following is a DFT calculation (PBE-GGA) of a relaxed SrCdSb2Te crystal.

**Offset from the most stable computed form**: 0 meV per atom
**Density of states at the Fermi level**: 5.51 states/eV per cell
**Total DFT energy (no corrections)**: -14.11 eV per cell
**SG**: P4/mmm, No. 123
**Theoretical density**: 5.3 g cm⁻³

a = 5.5142 Å, b = 5.5142 Å, c = 5.8467 Å
α = 90.00°, β = 90.00°, γ = 90.00°
Fractional coordinates of all 5 atoms:
Sr: 0.0000 0.0000 0.0000
Cd: 0.5000 0.5000 0.5000
Sb: 0.0000 0.5000 0.5000
Sb: 0.5000 0.0000 0.5000
Te: 0.5000 0.5000 0.0000


Entry 4:
The following is a DFT calculation (PBE-GGA) of a relaxed SrCdSbTe2 crystal.

**Offset from the most stable computed form**: 0 meV per atom
**Density of states at the Fermi level**: 4.65 states/eV per cell
**Total DFT energy (no corrections)**: -13.93 eV per cell
**SG**: P4/mmm, No. 123
**Theoretical density**: 5.3 g cm⁻³

a = 5.7980 Å, b = 5.7980 Å, c = 5.3831 Å
α = 90.00°, β = 90.00°, γ = 90.00°
Fractional coordinates of all 5 atoms:
Sr: 0.0000 0.0000 0.0000
Cd: 0.5000 0.5000 0.5000
Sb: 0.5000 0.5000 0.0000
Te: 0.0000 0.5000 0.5000
Te: 0.5000 0.0000 0.5000


Entry 5:
The following is a DFT calculation (PBE-GGA) of a relaxed SrCdSb2Te crystal.

**Offset from the most stable computed form**: 585 meV per atom
**Density of states at the Fermi level**: 6.22 states/eV per cell
**Total DFT energy (no corrections)**: -11.19 eV per cell
**SG**: P4/mmm, No. 123
**Theoretical density**: 4.2 g cm⁻³

a = 6.1285 Å, b = 6.1285 Å, c = 6.0328 Å
α = 90.00°, β = 90.00°, γ = 90.00°
Fractional coordinates of all 5 atoms:
Sr: 0.0000 0.0000 0.0000
Cd: 0.5000 0.5000 0.5000
Sb: 0.0000 0.5000 0.0000
Sb: 0.5000 0.0000 0.0000
Te: 0.0000 0.0000 0.5000


Entry 6:
The following is a DFT calculation (PBE-GGA) of a relaxed SrCdSbTe2 crystal.

**Offset from the most stable computed form**: 558 meV per atom
**Density of states at the Fermi level**: 8.90 states/eV per cell
**Total DFT energy (no corrections)**: -11.14 eV per cell
**SG**: P4/mmm, No. 123
**Theoretical density**: 4.1 g cm⁻³

a = 6.1172 Å, b = 6.1172 Å, c = 6.2086 Å
α = 90.00°, β = 90.00°, γ = 90.00°
Fractional coordinates of all 5 atoms:
Sr: 0.0000 0.0000 0.0000
Cd: 0.5000 0.5000 0.5000
Sb: 0.0000 0.0000 0.5000
Te: 0.0000 0.5000 0.0000
Te: 0.5000 0.0000 0.0000


no.,magnetization (μB/atom),raw formation energy (eV per atom)
1,0.000,-0.11
2,0.000,-0.68
3,0.000,-0.03
4,0.000,-0.18
5,0.054,0.56
6,0.035,0.37